[1]
LiCoSe4, relaxed, DFT GGA-PBE; SG = F-43m; raw total energy = -0.2399 Ry/atom; calculated density = 4822 kg/m³; ΔE_f (raw) = 562 meV per atom
1.0
0.0000 4.0356 4.0356
4.0356 0.0000 4.0356
4.0356 4.0356 0.0000
Li Co Se
1 1 4
Direct
0.0000 0.0000 0.0000 Li
0.7500 0.7500 0.7500 Co
0.3758 0.3758 0.3758 Se
0.3758 0.3758 0.8726 Se
0.3758 0.8726 0.3758 Se
0.8726 0.3758 0.3758 Se


[2]
YTa2Zn2, relaxed, DFT GGA-PBE; SG = P4/mbm; raw total energy = -0.4670 Ry/atom; calculated density = 10100 kg/m³
1.0
7.9820 0.0000 0.0000
0.0000 7.9820 0.0000
0.0000 0.0000 3.0017
Y Ta Zn
2 4 4
Direct
0.0000 0.0000 0.0000 Y
0.5000 0.5000 0.0000 Y
0.1260 0.3740 0.5000 Ta
0.3740 0.8740 0.5000 Ta
0.6260 0.1260 0.5000 Ta
0.8740 0.6260 0.5000 Ta
0.1688 0.6688 0.0000 Zn
0.3312 0.1688 0.0000 Zn
0.6688 0.8312 0.0000 Zn
0.8312 0.3312 0.0000 Zn


[3]
Tb2Y2Tm5, relaxed, DFT GGA-PBE; SG = Ima2; raw total energy = -0.3477 Ry/atom; calculated density = 7765 kg/m³
1.0
-7.4002 5.8169 3.3295
7.4002 -5.8169 3.3295
7.4002 5.8169 -3.3295
Tb Y Tm
4 4 10
Direct
0.0000 0.0000 0.0000 Tb
0.0000 0.5000 0.5000 Tb
0.0891 0.8533 0.7359 Tb
0.1174 0.3533 0.2641 Tb
0.5440 0.6784 0.1192 Y
0.5440 0.9248 0.3657 Y
0.5592 0.1784 0.6343 Y
0.5592 0.4248 0.8808 Y
0.1255 0.0297 0.3804 Tm
0.1255 0.2451 0.5959 Tm
0.1382 0.6450 0.9932 Tm
0.4450 0.1511 0.1878 Tm
0.4450 0.7571 0.7939 Tm
0.6493 0.5297 0.4041 Tm
0.6493 0.7451 0.6196 Tm
0.6518 0.1450 0.0068 Tm
0.9633 0.2571 0.8122 Tm
0.9633 0.6511 0.2061 Tm


[4]
TmPb6, relaxed, DFT GGA-PBE; SG = Im-3m; raw total energy = -0.2336 Ry/atom; calculated density = 7508 kg/m³
1.0
-4.2741 4.2741 4.2741
4.2741 -4.2741 4.2741
4.2741 4.2741 -4.2741
Tm Pb
1 6
Direct
0.0000 0.0000 0.0000 Tm
0.2500 0.5000 0.7500 Pb
0.2500 0.7500 0.5000 Pb
0.5000 0.2500 0.7500 Pb
0.5000 0.7500 0.2500 Pb
0.7500 0.2500 0.5000 Pb
0.7500 0.5000 0.2500 Pb


Question: Among the records above, which one has the lowest raw total energy?
Answer: YTa2Zn2